# 1
## Mg2TcAu (PBE-GGA)

Data for a geometry-optimized Mg2TcAu structure.

Cell lengths 4.8935, 4.8935, 4.8935 Å; angles 129.84, 129.84, 73.67 degrees
With the nearest neighbours (Å) after each atom.
Positions (direct):
Mg: 0.2500 0.7500 0.5000  4 Au 2.85, 4 Tc 2.85, 4 Mg 2.93
Mg: 0.7500 0.2500 0.5000  4 Au 2.85, 4 Tc 2.85, 4 Mg 2.93
Tc: 0.0000 0.0000 0.0000  8 Mg 2.85, 4 Au 2.93
Au: 0.5000 0.5000 0.0000  8 Mg 2.85, 4 Tc 2.93

## Properties
* excess energy over the best structure of this formula in the dataset: 0.0959 eV per atom
* formation energy from the elements: 0.13 eV/f.u.

***

# 2
## Rb4Tl3I8 (PBE-GGA)

Data for a geometry-optimized Rb4Tl3I8 structure.

Cell lengths 10.1594, 10.1594, 10.0294 Å; angles 119.11, 119.11, 91.06 degrees
With the nearest neighbours (Å) after each atom.
Positions (direct):
Rb: 0.0000 0.0000 0.0000  6 I 3.73-3.80
Rb: 0.0000 0.5000 0.0000  6 I 3.56-3.63
Rb: 0.5000 0.0000 0.0000  6 I 3.56-3.63
Rb: 0.5000 0.5000 0.5000  6 I 3.64
Tl: 0.0000 0.5000 0.5000  6 I 3.56-3.63
Tl: 0.5000 0.0000 0.5000  6 I 3.56-3.63
Tl: 0.5000 0.5000 0.0000  6 I 3.33-3.52
I: 0.2493 0.7507 0.5000  2 Tl 3.56, 3 Rb 3.61-3.64
I: 0.2574 0.7426 0.0000  3 Tl 3.52-3.61, 3 Rb 3.56-3.73
I: 0.2575 0.2575 0.5261  3 Tl 3.42-3.63, 2 Rb 3.64-3.80
I: 0.2644 0.2644 0.9962  1 Tl 3.33, 3 Rb 3.63-3.64
I: 0.7356 0.7356 0.0038  1 Tl 3.33, 3 Rb 3.63-3.64
I: 0.7425 0.7425 0.4739  3 Tl 3.42-3.63, 2 Rb 3.64-3.80
I: 0.7426 0.2574 0.0000  3 Tl 3.52-3.61, 3 Rb 3.56-3.73
I: 0.7507 0.2493 0.5000  2 Tl 3.56, 3 Rb 3.61-3.64

## Properties
* formation energy without anion corrections: -1.00 eV/atom

***

# 3
## Pm6Sm5Y2 (PBE-GGA)

Data for a geometry-optimized Pm6Sm5Y2 structure.

Cell lengths 11.8209, 20.7762, 3.6397 Å; angles 90.00, 90.00, 90.00 degrees
With the nearest neighbours (Å) after each atom.
Positions (direct):
Pm: 0.0601 0.0801 0.0000  6 Sm 3.55-3.71, 5 Pm 3.62-3.79, 1 Y 3.84
Pm: 0.0806 0.3671 0.0000  1 Y 3.38, 6 Sm 3.44-3.58, 4 Pm 3.53-3.64
Pm: 0.1756 0.6353 0.5000  2 Sm 3.35-3.49, 4 Pm 3.53-3.64, 2 Y 3.67
Pm: 0.3244 0.1353 0.5000  2 Sm 3.35-3.49, 4 Pm 3.53-3.64, 2 Y 3.67
Pm: 0.4194 0.8671 0.0000  1 Y 3.38, 6 Sm 3.44-3.58, 4 Pm 3.53-3.64
Pm: 0.4399 0.5801 0.0000  6 Sm 3.55-3.71, 5 Pm 3.62-3.79, 1 Y 3.84
Pm: 0.5601 0.4199 0.0000  6 Sm 3.55-3.71, 5 Pm 3.62-3.79, 1 Y 3.84
Pm: 0.5806 0.1329 0.0000  1 Y 3.38, 6 Sm 3.44-3.58, 4 Pm 3.53-3.64
Pm: 0.6756 0.8647 0.5000  2 Sm 3.35-3.49, 4 Pm 3.53-3.64, 2 Y 3.67
Pm: 0.8244 0.3647 0.5000  2 Sm 3.35-3.49, 4 Pm 3.53-3.64, 2 Y 3.67
Pm: 0.9194 0.6329 0.0000  1 Y 3.38, 6 Sm 3.44-3.58, 4 Pm 3.53-3.64
Pm: 0.9399 0.9199 0.0000  6 Sm 3.55-3.71, 5 Pm 3.62-3.79, 1 Y 3.84
Sm: 0.0000 0.5000 0.5000  6 Pm 3.44-3.49, 4 Sm 3.64-3.73
Sm: 0.0897 0.2256 0.5000  5 Pm 3.35-3.55, 4 Y 3.57-3.63, 2 Sm 3.64
Sm: 0.1990 0.9460 0.5000  6 Pm 3.58-3.71, 3 Sm 3.64-3.73, 2 Y 3.76
Sm: 0.3010 0.4460 0.5000  6 Pm 3.58-3.71, 3 Sm 3.64-3.73, 2 Y 3.76
Sm: 0.4103 0.7256 0.5000  5 Pm 3.35-3.55, 4 Y 3.57-3.63, 2 Sm 3.64
Sm: 0.5000 0.0000 0.5000  6 Pm 3.44-3.49, 4 Sm 3.64-3.73
Sm: 0.5897 0.2744 0.5000  5 Pm 3.35-3.55, 4 Y 3.57-3.63, 2 Sm 3.64
Sm: 0.6990 0.5540 0.5000  6 Pm 3.58-3.71, 3 Sm 3.64-3.73, 2 Y 3.76
Sm: 0.8010 0.0540 0.5000  6 Pm 3.58-3.71, 3 Sm 3.64-3.73, 2 Y 3.76
Sm: 0.9103 0.7744 0.5000  5 Pm 3.35-3.55, 4 Y 3.57-3.63, 2 Sm 3.64
Y: 0.1687 0.7886 0.0000  3 Pm 3.38-3.67, 6 Sm 3.57-3.76, 2 Y 3.64
Y: 0.3313 0.2886 0.0000  3 Pm 3.38-3.67, 6 Sm 3.57-3.76, 2 Y 3.64
Y: 0.6687 0.7114 0.0000  3 Pm 3.38-3.67, 6 Sm 3.57-3.76, 2 Y 3.64
Y: 0.8313 0.2114 0.0000  3 Pm 3.38-3.67, 6 Sm 3.57-3.76, 2 Y 3.64

## Properties
* formation energy from the elements: 1.19 eV/f.u.

***

# 4
## CePa3Co2 (PBE-GGA)

Data for a geometry-optimized CePa3Co2 structure.

Cell lengths 8.9276, 8.9276, 8.7105 Å; angles 105.58, 105.58, 21.93 degrees
With the nearest neighbours (Å) after each atom.
Positions (direct):
Ce: 0.1156 0.1156 0.1017  2 Co 2.70
Ce: 0.8844 0.8844 0.8983  2 Co 2.70
Pa: 0.0348 0.0348 0.6735  2 Co 2.48
Pa: 0.3183 0.3183 0.1203  2 Co 2.63
Pa: 0.3477 0.3477 0.5257  3 Co 2.70-2.82
Pa: 0.6523 0.6523 0.4743  3 Co 2.70-2.82
Pa: 0.6817 0.6817 0.8797  2 Co 2.63
Pa: 0.9652 0.9652 0.3265  2 Co 2.48
Co: 0.2340 0.2340 0.7006  5 Pa 2.63-2.82
Co: 0.4933 0.4933 0.8421  2 Pa 2.48, 1 Co 2.70, 2 Ce 2.70
Co: 0.5067 0.5067 0.1579  2 Pa 2.48, 1 Co 2.70, 2 Ce 2.70
Co: 0.7660 0.7660 0.2994  5 Pa 2.63-2.82

## Properties
* formation energy from the elements: -1.13 eV/f.u.

***

# 5
## V3ReB (PBE-GGA)

Data for a geometry-optimized V3ReB structure.

Cell lengths 4.0179, 4.0179, 4.0179 Å; angles 90.00, 90.00, 90.00 degrees
With the nearest neighbours (Å) after each atom.
Positions (direct):
V: 0.0000 0.0000 0.5000  2 B 2.01
V: 0.0000 0.5000 0.0000  2 B 2.01
V: 0.5000 0.0000 0.0000  2 B 2.01
Re: 0.5000 0.5000 0.5000  12 V 2.84
B: 0.0000 0.0000 0.0000  6 V 2.01

## Properties
* excess energy over the best structure of this formula in the dataset: 0.0000 eV per atom
* formation energy from the elements: 0.57 eV/f.u.

***

# 6
## PrSmHgRu (PBE-GGA)

Data for a geometry-optimized PrSmHgRu structure.

Cell lengths 3.5751, 3.5751, 7.7853 Å; angles 90.00, 90.00, 90.00 degrees
With the nearest neighbours (Å) after each atom.
Positions (direct):
Pr: 0.0000 0.0000 0.0000  4 Ru 3.08, 4 Hg 3.38, 1 Sm 3.43
Sm: 0.0000 0.0000 0.5596  4 Ru 3.02, 4 Hg 3.29
Hg: 0.5000 0.5000 0.2889  4 Sm 3.29, 4 Pr 3.38, 4 Hg 3.58
Ru: 0.5000 0.5000 0.7729  4 Sm 3.02, 4 Pr 3.08

## Properties
* excess energy over the best structure of this formula in the dataset: 0.0000 eV per atom
* formation energy from the elements: -1.33 eV/f.u.

***

# 7
## Au3SeS (PBE-GGA)

Data for a geometry-optimized Au3SeS structure.

Cell lengths 4.9754, 4.9754, 4.9754 Å; angles 90.00, 90.00, 90.00 degrees
With the nearest neighbours (Å) after each atom.
Positions (direct):
Au: 0.0000 0.0000 0.5000  2 Se 2.49
Au: 0.0000 0.5000 0.0000  2 Se 2.49
Au: 0.5000 0.0000 0.0000  2 Se 2.49
Se: 0.0000 0.0000 0.0000  6 Au 2.49
S: 0.5000 0.5000 0.5000  12 Au 3.52

## Properties
* formation energy without anion corrections: 0.74 eV/atom
* excess energy over the best structure of this formula in the dataset: 0.2021 eV per atom

***

# 8
## In7Hg6 (PBE-GGA)

Data for a geometry-optimized In7Hg6 structure.

Cell lengths 11.1228, 11.1228, 11.1228 Å; angles 32.93, 32.93, 32.93 degrees
With the nearest neighbours (Å) after each atom.
Positions (direct):
In: 0.0000 0.0000 0.0000  6 In 3.18
In: 0.0875 0.0875 0.5790  5 In 3.10-3.21, 4 Hg 3.21-3.36
In: 0.0875 0.5790 0.0875  5 In 3.10-3.21, 4 Hg 3.21-3.36
In: 0.4210 0.9125 0.9125  5 In 3.10-3.21, 4 Hg 3.21-3.36
In: 0.5790 0.0875 0.0875  5 In 3.10-3.21, 4 Hg 3.21-3.36
In: 0.9125 0.4210 0.9125  5 In 3.10-3.21, 4 Hg 3.21-3.36
In: 0.9125 0.9125 0.4210  5 In 3.10-3.21, 4 Hg 3.21-3.36
Hg: 0.1653 0.1653 0.1653  6 In 3.21-3.25
Hg: 0.3477 0.3477 0.3477  1 Hg 3.28, 6 In 3.52-3.67
Hg: 0.4517 0.4517 0.4517  2 Hg 3.04-3.28, 6 In 3.36
Hg: 0.5483 0.5483 0.5483  2 Hg 3.04-3.28, 6 In 3.36
Hg: 0.6523 0.6523 0.6523  1 Hg 3.28, 6 In 3.52-3.67
Hg: 0.8347 0.8347 0.8347  6 In 3.21-3.25

## Properties
* formation energy from the elements: 0.65 eV/f.u.

***

| no. | DFT total energy (eV/atom) | DOS at the Fermi energy (states/eV/atom) |
| --- | --- | --- |
| 1 | -4.176 | 0.277 |
| 2 | -2.562 | 0.677 |
| 3 | -4.910 | 1.204 |
| 4 | -8.294 | 1.574 |
| 5 | -9.181 | 1.369 |
| 6 | -5.102 | 0.947 |
| 7 | -2.749 | 0.628 |
| 8 | -1.563 | 0.380 |